Computed, not measured: a PBEsol-optimized structure of FeCuPb at the SCAN level of DFT.

Results
Its total energy is -35.88 eV/atom. The value obtained for the formation enthalpy at 0 K is 0.49 eV/atom. Its crystal system is cubic. Its density is 10.1 g/cm³.

a = 5.991 Å, b = 5.991 Å, c = 5.991 Å
α = 90.00°, β = 90.00°, γ = 90.00°
Space group F-43m (No. 216)
Inequivalent atoms, fractional coordinates:
Fe: 0.000 0.000 0.000
Cu: 0.250 0.250 0.250
Pb: 0.250 0.250 0.750